No. 1
! Na2Re3S6 (meta-GGA SCAN, PBEsol geometry); values from VASP
&SYSTEM
  ibrav = 0, nat = 44, ntyp = 3
/
ATOMIC_SPECIES
S 32.06 S.upf
Re 186.21 Re.upf
Na 22.99 Na.upf
ATOMIC_POSITIONS angstrom
S -0.667 0.440 9.959
S -1.374 -4.931 7.724
S -2.700 -9.232 5.762
S -4.955 -8.669 8.293
S -3.742 -0.962 10.098
S -5.545 -7.104 5.173
S -4.906 -6.951 13.811
S -3.219 -3.385 5.160
S -5.068 -5.263 8.136
S -0.057 -5.015 4.596
S -1.535 -3.243 2.048
S -1.487 -1.525 7.566
S -6.385 -5.179 11.264
S -7.147 -11.244 9.312
S -3.223 -6.809 10.700
S -6.301 -8.557 11.416
S -5.775 -10.634 5.901
S -0.172 -0.149 1.026
S 0.705 1.051 6.547
S -0.141 -1.637 4.444
S -4.648 -4.631 2.193
S -6.269 -10.045 14.833
S -1.793 -5.563 13.667
S -0.896 -3.090 10.687
Re -1.808 -0.959 11.524
Re -7.185 -8.842 9.214
Re 0.743 -1.352 6.645
Re -5.532 -6.925 9.849
Re 0.075 -3.119 8.441
Re -6.517 -7.075 7.418
Re -2.785 -7.662 12.951
Re -0.909 -3.269 6.010
Re -3.657 -2.532 2.908
Re -4.634 -9.235 4.335
Re -2.349 -1.165 1.115
Re -4.092 -9.029 14.744
Na -5.920 -4.283 5.160
Na -3.502 -4.047 10.687
Na -5.656 -4.060 13.952
Na -2.939 -6.147 5.172
Na -0.785 -6.134 1.908
Na -0.522 -5.911 10.700
Na -2.028 -8.078 8.449
Na -4.413 -2.116 7.411
CELL_PARAMETERS angstrom
-8.046 -3.827 2.393
0.065 -8.901 2.426
1.539 2.533 11.041
! Space group: C2/c (15)
! Energy relative to the elements, uncorrected, eV per atom: -0.82
! Crystal system: monoclinic
! Calculated volume, Å³ per cell: 861.8
! Raw total energy, eV per atom: -26.22

***

No. 2
! Sr3AlGa (meta-GGA SCAN, PBEsol geometry); values from VASP
&SYSTEM
  ibrav = 0, nat = 5, ntyp = 3
/
ATOMIC_SPECIES
Sr 87.62 Sr.upf
Al 26.98 Al.upf
Ga 69.72 Ga.upf
ATOMIC_POSITIONS angstrom
Sr -2.597 -1.128 1.138
Sr -1.000 2.834 0.528
Sr -1.253 0.077 -2.781
Al 0.000 0.000 0.000
Ga -4.849 1.783 -1.115
CELL_PARAMETERS angstrom
-1.999 5.668 1.057
-2.505 0.153 -5.563
-5.193 -2.256 2.277
! Space group: Pm-3m (221)
! Crystal system: cubic
! Calculated volume, Å³ per cell: 227.3
! Raw total energy, eV per atom: -17.87
! ΔH_f (0 K), eV/atom: 0.31

***

No. 3
! SrSCl2 (meta-GGA SCAN, PBEsol geometry); values from VASP
&SYSTEM
  ibrav = 0, nat = 8, ntyp = 3
/
ATOMIC_SPECIES
Cl 35.45 Cl.upf
Sr 87.62 Sr.upf
S 32.06 S.upf
ATOMIC_POSITIONS angstrom
Cl 2.774 -3.151 -1.163
Cl 3.461 -5.032 3.661
Cl 0.044 -4.247 -0.088
Cl 3.318 -2.667 5.708
Sr 0.000 0.000 0.000
Sr 3.820 -3.147 1.518
S 0.279 -2.416 -2.187
S 0.979 -4.402 2.542
CELL_PARAMETERS angstrom
-2.562 -3.671 -1.163
3.120 -1.160 -3.211
4.240 -2.717 8.433
! Space group: I-42d (122)
! Energy relative to the elements, uncorrected, eV per atom: -1.25
! Crystal system: tetragonal
! Calculated volume, Å³ per cell: 198.1
! Raw total energy, eV per atom: -13.21